An optimized crystal structure of TiFe, computed with PBE.

Unit cell a=7.2188 b=7.2188 c=4.5125 alpha=90.00 beta=90.00 gamma=90.00
Fractional positions:
1 Ti 0.0962 0.3069 0.0000
2 Ti 0.0962 0.6931 0.5000
3 Ti 0.3069 0.0962 0.5000
4 Ti 0.3069 0.9038 0.0000
5 Ti 0.6931 0.0962 0.0000
6 Ti 0.6931 0.9038 0.5000
7 Ti 0.9038 0.3069 0.5000
8 Ti 0.9038 0.6931 0.0000
9 Fe 0.2609 0.4143 0.5000
10 Fe 0.2609 0.5857 0.0000
11 Fe 0.4143 0.2609 0.0000
12 Fe 0.4143 0.7391 0.5000
13 Fe 0.5857 0.2609 0.5000
14 Fe 0.5857 0.7391 0.0000
15 Fe 0.7391 0.4143 0.0000
16 Fe 0.7391 0.5857 0.5000

Properties
The calculation puts the formation enthalpy at 0 K at 0.35 eV per formula unit.